Entry 1:
Hg4AsSeI2 after structural relaxation. Source: Alexandria via LeMat-Bulk, functional GGA-PBE.

a b c (Å): 8.774 8.845 8.901
angles (deg): 104.70 98.36 105.65
Space group P1 (No. 1)
Unique sites:
1 Hg 0.000 0.000 0.000 [1 per cell]
2 Hg 0.022 0.565 0.292 [1 per cell]
3 Hg 0.143 0.256 0.423 [1 per cell]
4 Hg 0.224 0.777 0.021 [1 per cell]
5 Hg 0.371 0.975 0.703 [1 per cell]
6 Hg 0.416 0.595 0.299 [1 per cell]
7 Hg 0.511 0.663 0.829 [1 per cell]
8 Hg 0.660 0.329 0.465 [1 per cell]
9 As 0.233 0.688 0.723 [1 per cell]
10 As 0.267 0.814 0.323 [1 per cell]
11 Se 0.379 0.280 0.271 [1 per cell]
12 Se 0.862 0.268 0.276 [1 per cell]
13 I 0.175 0.215 0.729 [1 per cell]
14 I 0.682 0.201 0.731 [1 per cell]
15 I 0.699 0.661 0.115 [1 per cell]
16 I 0.751 0.694 0.618 [1 per cell]

***

Entry 2:
SnHgAsI6 after structural relaxation. Source: Alexandria via LeMat-Bulk, functional GGA-PBE.

a b c (Å): 7.393 7.621 7.621
angles (deg): 119.96 90.05 90.05
Space group P1 (No. 1)
Unique sites:
1 Sn 0.000 0.000 0.000 [1 per cell]
2 Hg 0.499 0.333 0.667 [1 per cell]
3 As 0.000 0.667 0.333 [1 per cell]
4 I 0.235 0.667 0.027 [1 per cell]
5 I 0.236 0.361 0.334 [1 per cell]
6 I 0.236 0.973 0.640 [1 per cell]
7 I 0.764 0.361 0.026 [1 per cell]
8 I 0.765 0.665 0.639 [1 per cell]
9 I 0.765 0.973 0.334 [1 per cell]

Properties
DOS(E_F)	0.401	states/eV/atom

***

Entry 3:
SnHg7As4I6 after structural relaxation. Source: Alexandria via LeMat-Bulk, functional GGA-PBE.

a b c (Å): 13.467 13.467 13.467
angles (deg): 90.00 90.00 90.00
Space group P2_13 (No. 198)
Unique sites:
1 Sn 0.240 0.260 0.740 [4 per cell]
2 Hg 0.000 0.252 0.565 [12 per cell]
3 Hg 0.041 0.041 0.041 [4 per cell]
4 Hg 0.079 0.321 0.098 [12 per cell]
5 As 0.033 0.967 0.467 [4 per cell]
6 As 0.069 0.431 0.569 [4 per cell]
7 As 0.072 0.572 0.928 [4 per cell]
8 As 0.149 0.149 0.149 [4 per cell]
9 I 0.011 0.770 0.686 [12 per cell]
10 I 0.051 0.798 0.189 [12 per cell]

***

Number 1: electronic total energy -26.9 eV/cell, E_form (uncorrected) -0.13 eV/atom, calculated volume 626.2 Å³/cell. Number 2: electronic total energy -20.2 eV/cell, E_form (uncorrected) -0.22 eV/atom, calculated volume 372.0 Å³/cell. Number 3: electronic total energy -150.4 eV/cell, E_form (uncorrected) -0.20 eV/atom, calculated volume 2442.4 Å³/cell.